## Pr4Dy4Y3 (PBE)

Data for a relaxed structure of Pr4Dy4Y3.

The structure in POSCAR format:
```
Pr4Dy4Y3
1.0
20.0455 -1.8085 0.0000
20.0455 1.8085 0.0000
-0.6490 0.0000 5.0625
Pr Dy Y
4 4 3
Direct
0.0463 0.0463 0.0457 Pr
0.3176 0.3176 0.3178 Pr
0.6824 0.6824 0.6822 Pr
0.9537 0.9537 0.9543 Pr
0.2277 0.2277 0.2277 Dy
0.4083 0.4083 0.4092 Dy
0.5917 0.5917 0.5908 Dy
0.7723 0.7723 0.7723 Dy
0.1362 0.1362 0.1357 Y
0.5000 0.5000 0.5000 Y
0.8638 0.8638 0.8643 Y
```

Space group: C2/m, No. 12
D(E_F): 15.10 states/eV/cell
Calculated total energy: -5.156 eV/atom